DFT (PBE-GGA) results for a relaxed structure of Ni2BiTe3.

```
Ni2BiTe3
1.0
-2.044 -4.521 2.224
7.059 -3.287 -0.194
-2.225 4.082 6.250
Ni Bi Te
4 2 6
direct
0.000 0.000 0.000
0.000 0.500 0.500
0.000 0.500 0.000
0.000 0.000 0.500
0.283 0.667 0.333
0.717 0.333 0.667
0.766 0.343 0.171
0.766 0.829 0.657
0.766 0.829 0.171
0.234 0.171 0.829
0.234 0.657 0.829
0.234 0.171 0.343
```

Computed properties:
Uncorrected formation energy: -0.190 eV per atom
Excess energy over the best structure of this formula in the dataset: 0 meV per atom
DOS(E_F): 0.61 states/eV per atom
Calculated density: 8.24 Mg/m³
SG: P-3m1, No. 164